Model i:
Crystalline TaRuPb2 at its relaxed geometry. Source: Alexandria via LeMat-Bulk, functional PBE.

## Properties
The calculation puts the density of states at the Fermi level at 5.37 states/eV per cell.

Cell and atoms, written as CIF:
```
data_TaRuPb2
_chemical_formula_sum 'Ta2 Ru2 Pb4'
_space_group_name_H-M_alt 'C m m m'
_space_group_IT_number 65
_space_group_name_Hall '-C 2 2'
_cell_length_a 4.526
_cell_length_b 4.827
_cell_length_c 7.355
_cell_angle_alpha 90.00
_cell_angle_beta 90.00
_cell_angle_gamma 90.00
loop_
_atom_site_label
_atom_site_fract_x
_atom_site_fract_y
_atom_site_fract_z
Ta1 0.000 0.000 0.000
Ru1 0.000 0.000 0.500
Pb1 0.000 0.500 0.270
```

---

Model ii:
Crystalline TaRuPb2 at its relaxed geometry. Source: Alexandria via LeMat-Bulk, functional PBE.

## Properties
The calculation puts the density of states at the Fermi level at 2.96 states/eV per cell.

Cell and atoms, written as CIF:
```
data_TaRuPb2
_chemical_formula_sum 'Ta1 Ru1 Pb2'
_space_group_name_H-M_alt 'P 1 2/m 1'
_space_group_IT_number 10
_cell_length_a 3.188
_cell_length_b 4.484
_cell_length_c 5.842
_cell_angle_alpha 90.00
_cell_angle_beta 95.94
_cell_angle_gamma 90.00
loop_
_space_group_symop_operation_xyz
'x,y,z'
'-x,-y,-z'
'-x,y,-z'
'x,-y,z'
loop_
_atom_site_label
_atom_site_fract_x
_atom_site_fract_y
_atom_site_fract_z
Ta1 0.000 0.000 0.000
Ru1 0.500 0.000 0.500
Pb1 0.297 0.500 0.741
```

---

Q: Which of them is the least stable? A: model ii.

---

Model i:
Crystalline CdAsBr2 at its relaxed geometry. Source: Alexandria via LeMat-Bulk, functional PBE.

## Properties
The calculation puts the density of states at the Fermi level at 4.34 states/eV per cell.

Cell and atoms, written as CIF:
```
data_CdAsBr2
_chemical_formula_sum 'Cd2 As2 Br4'
_space_group_name_H-M_alt 'C m m m'
_space_group_IT_number 65
_space_group_name_Hall '-C 2 2'
_cell_length_a 6.748
_cell_length_b 7.962
_cell_length_c 3.665
_cell_angle_alpha 90.00
_cell_angle_beta 90.00
_cell_angle_gamma 90.00
loop_
_atom_site_label
_atom_site_fract_x
_atom_site_fract_y
_atom_site_fract_z
Cd1 0.000 0.000 0.000
As1 0.000 0.500 0.000
Br1 0.250 0.250 0.500
```

---

Model ii:
Crystalline CdAsBr2 at its relaxed geometry. Source: Alexandria via LeMat-Bulk, functional PBE.

## Properties
The calculation puts the density of states at the Fermi level at 4.16 states/eV per cell.

Cell and atoms, written as CIF:
```
data_CdAsBr2
_chemical_formula_sum 'Cd2 As2 Br4'
_space_group_name_H-M_alt 'C 1 m 1'
_space_group_IT_number 8
_cell_length_a 11.759
_cell_length_b 3.626
_cell_length_c 5.995
_cell_angle_alpha 90.00
_cell_angle_beta 99.74
_cell_angle_gamma 90.00
loop_
_space_group_symop_operation_xyz
'x,y,z'
'x,-y,z'
'x+1/2,y+1/2,z'
'x+1/2,-y+1/2,z'
loop_
_atom_site_label
_atom_site_fract_x
_atom_site_fract_y
_atom_site_fract_z
Cd1 0.000 0.000 0.000
As1 0.346 0.000 0.759
Br1 0.176 0.500 0.112
Br2 0.469 0.000 0.476
```

---

Q: Which of them is the least stable? A: model i.

---

Model i:
Crystalline B2C at its relaxed geometry. Source: Alexandria via LeMat-Bulk, functional PBE.

## Properties
The calculation puts the density of states at the Fermi level at 4.70 states/eV per cell.

Cell and atoms, written as CIF:
```
data_B2C
_chemical_formula_sum 'B16 C8'
_space_group_name_H-M_alt 'C 1 m 1'
_space_group_IT_number 8
_cell_length_a 9.293
_cell_length_b 2.652
_cell_length_c 8.391
_cell_angle_alpha 90.00
_cell_angle_beta 92.95
_cell_angle_gamma 90.00
loop_
_space_group_symop_operation_xyz
'x,y,z'
'x,-y,z'
'x+1/2,y+1/2,z'
'x+1/2,-y+1/2,z'
loop_
_atom_site_label
_atom_site_fract_x
_atom_site_fract_y
_atom_site_fract_z
B1 0.000 0.000 0.000
B2 0.010 0.500 0.775
B3 0.255 0.000 0.837
B4 0.282 0.000 0.205
B5 0.308 0.500 0.995
B6 0.368 0.500 0.594
B7 0.437 0.500 0.410
B8 0.465 0.000 0.277
C1 0.047 0.500 0.117
C2 0.081 0.000 0.833
C3 0.211 0.500 0.145
C4 0.350 0.000 0.687
```

---

Model ii:
Crystalline B2C at its relaxed geometry. Source: Alexandria via LeMat-Bulk, functional PBE.

## Properties
The calculation puts the density of states at the Fermi level at 3.01 states/eV per cell.

Cell and atoms, written as CIF:
```
data_B2C
_chemical_formula_sum 'B16 C8'
_space_group_name_H-M_alt 'C 1 m 1'
_space_group_IT_number 8
_cell_length_a 4.785
_cell_length_b 7.948
_cell_length_c 4.483
_cell_angle_alpha 90.00
_cell_angle_beta 106.63
_cell_angle_gamma 90.00
loop_
_space_group_symop_operation_xyz
'x,y,z'
'x,-y,z'
'x+1/2,y+1/2,z'
'x+1/2,-y+1/2,z'
loop_
_atom_site_label
_atom_site_fract_x
_atom_site_fract_y
_atom_site_fract_z
B1 0.000 0.000 0.000
B2 0.078 0.322 0.926
B3 0.181 0.115 0.767
B4 0.200 0.000 0.410
B5 0.487 0.319 0.374
C1 0.047 0.500 0.423
C2 0.144 0.337 0.294
C3 0.164 0.500 0.777
```

---

Q: Which of them is the least stable? A: model i.